Crystalline HoNiPtPb at its relaxed geometry. Source: the Alexandria database, functional PBE.

The structure in CIF format:
```
data_HoNiPtPb
_symmetry_space_group_name_H-M 'P 1'
_symmetry_Int_Tables_number 1
_symmetry_space_group_name_Hall 'P 1'
_cell_length_a 4.788
_cell_length_b 4.788
_cell_length_c 4.788
_cell_angle_alpha 60.00
_cell_angle_beta 60.00
_cell_angle_gamma 60.00
loop_
_atom_site_label
_atom_site_fract_x
_atom_site_fract_y
_atom_site_fract_z
Pt1 0.750 0.750 0.750
Ni1 0.250 0.250 0.250
Ho1 0.000 0.000 0.000
Pb1 0.500 0.500 0.500
```

Computed properties:
Spin magnetization (μB per formula unit): 0.0
Formation enthalpy at 0 K (eV per formula unit): -1.96